VASP calculation (PBE-GGA) on an optimized crystal structure of PtS2ClO8.

Output
SG: C2/m, No. 12
Density of states at the Fermi level in states/eV per cell: 1.57
M_tot in μB per atom: 0.083
Total energy in eV/atom: -5.3754
Uncorrected formation energy in eV/atom: -0.72

abc: 4.7899 4.7899 9.3388
angles: 87.31 87.31 66.07
With the nearest neighbours (Å) after each atom.
Fractional coordinates of all 12 atoms:
Pt: 0.0000 0.0000 0.0000  6 O 2.03-2.04
S: 0.6365 0.6365 0.1666  4 O 1.42-1.53
S: 0.3635 0.3635 0.8334  4 O 1.42-1.53
Cl: 0.0000 0.0000 0.5000  2 O 3.03
O: 0.7117 0.2439 0.8419  1 S 1.53
O: 0.7475 0.7475 0.0285  1 S 1.53
O: 0.7166 0.7166 0.2987  1 S 1.42
O: 0.2834 0.2834 0.7013  1 S 1.42
O: 0.2525 0.2525 0.9715  1 S 1.53
O: 0.2439 0.7117 0.8419  1 S 1.53
O: 0.7561 0.2883 0.1581  1 S 1.53
O: 0.2883 0.7561 0.1581  1 S 1.53



VASP calculation (PBE-GGA) on an optimized crystal structure of In6SnHg23.

Output
SG: Fm-3m, No. 225
Density of states at the Fermi level in states/eV per cell: 11.14
M_tot in μB per atom: 0.000
Total energy in eV/atom: -0.8864

abc: 10.4796 10.4796 10.4796
angles: 60.00 60.00 60.00
With the nearest neighbours (Å) after each atom.
Fractional coordinates of all 30 atoms:
In: 0.7631 0.7631 0.2369  9 Hg 3.21-3.51
In: 0.2369 0.2369 0.7631  9 Hg 3.21-3.51
In: 0.7631 0.2369 0.2369  9 Hg 3.21-3.51
In: 0.2369 0.7631 0.7631  9 Hg 3.21-3.51
In: 0.7631 0.2369 0.7631  9 Hg 3.21-3.51
In: 0.2369 0.7631 0.2369  9 Hg 3.21-3.51
Sn: 0.5000 0.5000 0.5000  8 Hg 3.24
Hg: 0.5944 0.1352 0.1352  4 Hg 3.13-3.47, 3 In 3.21
Hg: 0.4056 0.8648 0.8648  4 Hg 3.13-3.47, 3 In 3.21
Hg: 0.1352 0.1352 0.5944  4 Hg 3.13-3.47, 3 In 3.21
Hg: 0.1352 0.1352 0.1352  4 Hg 3.13-3.47, 3 In 3.21
Hg: 0.8648 0.8648 0.4056  4 Hg 3.13-3.47, 3 In 3.21
Hg: 0.8648 0.8648 0.8648  4 Hg 3.13-3.47, 3 In 3.21
Hg: 0.1352 0.5944 0.1352  4 Hg 3.13-3.47, 3 In 3.21
Hg: 0.8648 0.4056 0.8648  4 Hg 3.13-3.47, 3 In 3.21
Hg: 0.5000 0.5000 0.0000  8 Hg 3.13-3.20
Hg: 0.0000 0.0000 0.5000  8 Hg 3.13-3.20
Hg: 0.5000 0.0000 0.0000  8 Hg 3.13-3.20
Hg: 0.0000 0.5000 0.5000  8 Hg 3.13-3.20
Hg: 0.5000 0.0000 0.5000  8 Hg 3.13-3.20
Hg: 0.0000 0.5000 0.0000  8 Hg 3.13-3.20
Hg: 0.8783 0.3739 0.3739  6 Hg 3.20-3.54, 1 Sn 3.24, 3 In 3.33
Hg: 0.1217 0.6261 0.6261  6 Hg 3.20-3.54, 1 Sn 3.24, 3 In 3.33
Hg: 0.3739 0.3739 0.8783  6 Hg 3.20-3.54, 1 Sn 3.24, 3 In 3.33
Hg: 0.3739 0.3739 0.3739  6 Hg 3.20-3.54, 1 Sn 3.24, 3 In 3.33
Hg: 0.6261 0.6261 0.1217  6 Hg 3.20-3.54, 1 Sn 3.24, 3 In 3.33
Hg: 0.6261 0.6261 0.6261  6 Hg 3.20-3.54, 1 Sn 3.24, 3 In 3.33
Hg: 0.3739 0.8783 0.3739  6 Hg 3.20-3.54, 1 Sn 3.24, 3 In 3.33
Hg: 0.6261 0.1217 0.6261  6 Hg 3.20-3.54, 1 Sn 3.24, 3 In 3.33
Hg: 0.0000 0.0000 0.0000  8 Hg 3.47, 6 In 3.51



VASP calculation (PBE-GGA) on an optimized crystal structure of PIr2Os.

Output
SG: Imm2, No. 44
Density of states at the Fermi level in states/eV per cell: 2.10
M_tot in μB per atom: 0.000
Total energy in eV/atom: -8.5397

abc: 5.3830 5.3830 5.3830
angles: 149.64 133.95 56.15
With the nearest neighbours (Å) after each atom.
Fractional coordinates of all 4 atoms:
P: 0.7454 0.2454 0.5000  2 Os 2.34, 6 Ir 2.40-2.54
Ir: 0.9496 0.9496 0.0000  2 P 2.40
Ir: 0.2566 0.7566 0.5000  4 P 2.54, 4 Ir 2.79-2.82
Os: 0.5483 0.5483 0.0000  2 P 2.34